(1)
{"formula": "SrLiBi2", "functional": "GGA-PBE", "state": "optimized geometry", "e_form_ev_per_atom": -0.557, "space_group": "P4/mmm, No. 123", "magnetic_moment_mub_per_fu": 0.0, "e_above_lowest_polymorph_mev_per_atom": 0.0, "lattice_angstrom": [[4.703, 0.000, 0.000], [0.000, 5.078, 0.000], [0.000, 0.000, 5.078]], "species": ["Sr", "Bi", "Bi", "Li"], "fractional_positions": [[0.500, 0.500, 0.500], [0.000, 0.000, 0.500], [0.000, 0.500, 0.000], [0.500, 0.000, 0.000]]}

=====

(2)
{"formula": "Ac2InTe", "functional": "GGA-PBE", "state": "optimized geometry", "formation_energy_uncorrected_ev_per_atom": -0.8622, "space_group": "P4/mmm, No. 123", "magnetic_moment_mub_per_fu": 0.0, "e_above_lowest_polymorph_mev_per_atom": 115.4, "lattice_angstrom": [[3.978, 0.000, 0.000], [0.000, 3.978, 0.000], [0.000, 0.000, 8.732]], "species": ["Ac", "Ac", "Te", "In"], "fractional_positions": [[0.000, 0.000, 0.753], [0.000, 0.000, 0.247], [0.500, 0.500, 0.000], [0.500, 0.500, 0.500]]}

=====

(3)
{"formula": "Ca2NpHgO6", "functional": "GGA-PBE", "state": "optimized geometry", "formation_energy_uncorrected_ev_per_atom": -2.4237, "space_group": "R3, No. 146", "magnetic_moment_mub_per_fu": 1.0, "lattice_angstrom": [[5.865, 0.000, 0.000], [2.933, 5.080, 0.001], [2.932, 1.695, 5.092]], "species": ["Ca", "Ca", "Np", "Hg", "O", "O", "O", "O", "O", "O"], "fractional_positions": [[0.533, 0.533, 0.401], [0.022, 0.022, 0.935], [0.320, 0.321, 0.038], [0.805, 0.806, 0.584], [0.577, 0.214, 0.242], [0.214, 0.968, 0.241], [0.968, 0.577, 0.241], [0.417, 0.678, 0.777], [0.678, 0.127, 0.778], [0.127, 0.417, 0.777]]}

=====

(4)
{"formula": "KBa4W", "functional": "GGA-PBE", "state": "optimized geometry", "e_form_ev_per_atom": 1.216, "space_group": "F-43m, No. 216", "magnetic_moment_mub_per_fu": 4.3, "lattice_angstrom": [[0.865, 3.116, 6.887], [-3.368, -3.150, 6.051], [4.191, -3.535, 5.275]], "species": ["K", "Ba", "Ba", "Ba", "Ba", "W"], "fractional_positions": [[0.750, 0.750, 0.750], [0.880, 0.373, 0.373], [0.373, 0.373, 0.880], [0.373, 0.880, 0.373], [0.373, 0.373, 0.373], [0.000, 0.000, 0.000]]}

=====

(5)
{"formula": "RbSn2Se2", "functional": "GGA-PBE", "state": "optimized geometry", "formation_energy_uncorrected_ev_per_atom": -0.3325, "space_group": "P4/mbm, No. 127", "magnetic_moment_mub_per_fu": 0.0, "e_above_lowest_polymorph_mev_per_atom": 32.2, "lattice_angstrom": [[-7.635, 0.374, 4.583], [1.321, -8.331, 2.880], [1.967, 1.406, 3.163]], "species": ["Se", "Se", "Se", "Se", "Sn", "Sn", "Sn", "Sn", "Rb", "Rb"], "fractional_positions": [[0.351, 0.851, 0.000], [0.851, 0.649, 0.000], [0.649, 0.149, 0.000], [0.149, 0.351, 0.000], [0.117, 0.617, 0.500], [0.617, 0.883, 0.500], [0.883, 0.383, 0.500], [0.383, 0.117, 0.500], [0.000, 0.000, 0.000], [0.500, 0.500, 0.000]]}

=====

(6)
{"formula": "Hf4InC2", "functional": "GGA-PBE", "state": "optimized geometry", "e_form_ev_per_atom": -0.579, "space_group": "Cmcm, No. 63", "magnetic_moment_mub_per_fu": 0.0, "lattice_angstrom": [[3.411, 0.000, 0.000], [-1.705, 5.737, 0.000], [0.000, 0.000, 12.030]], "species": ["Hf", "Hf", "Hf", "Hf", "Hf", "Hf", "Hf", "Hf", "In", "In", "C", "C", "C", "C"], "fractional_positions": [[0.757, 0.514, 0.102], [0.757, 0.514, 0.398], [0.243, 0.486, 0.898], [0.243, 0.486, 0.602], [0.909, 0.819, 0.750], [0.091, 0.181, 0.250], [0.500, 0.000, 0.000], [0.500, 0.000, 0.500], [0.608, 0.217, 0.750], [0.392, 0.783, 0.250], [0.135, 0.270, 0.441], [0.865, 0.730, 0.941], [0.135, 0.270, 0.059], [0.865, 0.730, 0.559]]}

=====

(7)
{"formula": "Na2Pb3Se4", "functional": "GGA-PBE", "state": "optimized geometry", "formation_energy_uncorrected_ev_per_atom": -0.7028, "space_group": "C2/m, No. 12", "magnetic_moment_mub_per_fu": 0.0, "lattice_angstrom": [[4.300, 0.000, 1.058], [2.030, 7.364, 1.015], [0.001, 0.053, 9.265]], "species": ["Na", "Na", "Pb", "Pb", "Pb", "Se", "Se", "Se", "Se"], "fractional_positions": [[0.635, 0.097, 0.633], [0.365, 0.903, 0.367], [0.000, 0.000, 0.000], [0.197, 0.410, 0.196], [0.803, 0.590, 0.804], [0.766, 0.157, 0.311], [0.234, 0.843, 0.689], [0.405, 0.286, 0.903], [0.595, 0.714, 0.097]]}

=====

(8)
{"formula": "TbYCBr", "functional": "GGA-PBE", "state": "optimized geometry", "formation_energy_uncorrected_ev_per_atom": -0.9452, "space_group": "R3m, No. 160", "magnetic_moment_mub_per_fu": 0.0, "lattice_angstrom": [[3.693, 0.000, 0.000], [-1.846, 3.198, 0.000], [-1.846, -1.065, 7.164]], "species": ["Tb", "Y", "C", "Br"], "fractional_positions": [[0.516, 0.156, 0.688], [0.089, 0.942, 0.047], [0.306, 0.551, 0.873], [0.967, 0.381, 0.363]]}

=====

(9)
{"formula": "LiTeOs2", "functional": "GGA-PBE", "state": "optimized geometry", "formation_energy_uncorrected_ev_per_atom": 0.7483, "space_group": "Cmm2, No. 35", "magnetic_moment_mub_per_fu": 0.0, "lattice_angstrom": [[2.898, -0.001, 0.000], [-1.400, 2.538, 0.000], [0.000, 0.000, 9.434]], "species": ["Li", "Os", "Os", "Te"], "fractional_positions": [[0.500, 0.500, 0.772], [0.000, 0.000, 0.005], [0.500, 0.500, 0.228], [0.000, 0.000, 0.495]]}

=====

(10)
{"formula": "ZnRuF3", "functional": "GGA-PBE", "state": "optimized geometry", "formation_energy_uncorrected_ev_per_atom": -0.9764, "space_group": "Pm-3m, No. 221", "magnetic_moment_mub_per_fu": 3.2, "e_above_lowest_polymorph_mev_per_atom": 0.0, "lattice_angstrom": [[-0.976, -2.469, 3.106], [3.783, -1.544, -0.039], [1.197, 2.866, 2.655]], "species": ["Ru", "Zn", "F", "F", "F"], "fractional_positions": [[0.500, 0.500, 0.500], [0.000, 0.000, 0.000], [0.000, 0.500, 0.000], [0.000, 0.000, 0.500], [0.500, 0.000, 0.000]]}

=====

(11)
{"formula": "TaGeI2O", "functional": "GGA-PBE", "state": "optimized geometry", "formation_energy_uncorrected_ev_per_atom": -0.3093, "space_group": "P4/mmm, No. 123", "magnetic_moment_mub_per_fu": 0.5, "e_above_lowest_polymorph_mev_per_atom": 0.0, "lattice_angstrom": [[-5.007, -2.514, -1.347], [-0.067, -2.618, 5.133], [-1.918, 3.011, 1.511]], "species": ["I", "I", "Ge", "O", "Ta"], "fractional_positions": [[0.000, 0.500, 0.000], [0.500, 0.000, 0.000], [0.500, 0.500, 0.500], [0.000, 0.000, 0.500], [0.000, 0.000, 0.000]]}

=====

(12)
{"formula": "Pa2Ni4Ge3Au", "functional": "GGA-PBE", "state": "optimized geometry", "e_form_ev_per_atom": -0.506, "space_group": "P-4m2, No. 115", "magnetic_moment_mub_per_fu": 0.0, "lattice_angstrom": [[-3.682, 0.035, -1.457], [-0.879, -3.212, 2.143], [-3.075, 6.125, 7.917]], "species": ["Pa", "Pa", "Ni", "Ni", "Ni", "Ni", "Ge", "Ge", "Ge", "Au"], "fractional_positions": [[0.500, 0.000, 0.247], [0.000, 0.500, 0.753], [0.500, 0.500, 0.000], [0.000, 0.000, 0.000], [0.500, 0.000, 0.658], [0.000, 0.500, 0.342], [0.000, 0.000, 0.500], [0.500, 0.000, 0.878], [0.000, 0.500, 0.122], [0.500, 0.500, 0.500]]}

=====

Number 9 is which compound? LiTeOs2

=====

Repeat the eighth record exactly.
{"formula": "TbYCBr", "functional": "GGA-PBE", "state": "optimized geometry", "formation_energy_uncorrected_ev_per_atom": -0.9452, "space_group": "R3m, No. 160", "magnetic_moment_mub_per_fu": 0.0, "lattice_angstrom": [[3.693, 0.000, 0.000], [-1.846, 3.198, 0.000], [-1.846, -1.065, 7.164]], "species": ["Tb", "Y", "C", "Br"], "fractional_positions": [[0.516, 0.156, 0.688], [0.089, 0.942, 0.047], [0.306, 0.551, 0.873], [0.967, 0.381, 0.363]]}